Entry 1:
The following is a DFT calculation (PBE) of CdIn2Te after structural relaxation.

Cell lengths 6.6349, 6.6349, 4.5382 Å; angles 109.63, 109.63, 37.86 degrees
Closest atoms and distances in Å follow each position.
Sites, in units of the cell vectors:
Cd 0.0000 0.0000 0.0000  4 Te 3.13, 4 In 3.45-3.48
In 0.2230 0.2230 0.7232  4 In 3.19, 2 Te 3.39, 2 Cd 3.45-3.48
In 0.7770 0.7770 0.2768  4 In 3.19, 2 Te 3.39, 2 Cd 3.45-3.48
Te 0.5000 0.5000 0.5000  4 Cd 3.13, 4 In 3.39

## Properties
Its symmetry is C2/m (12). The energy relative to the elements, uncorrected is -0.0508 eV/atom.

Entry 2:
The following is a DFT calculation (PBE) of Rb3VPd after structural relaxation.

Cell lengths 6.4605, 6.4605, 6.4605 Å; angles 90.00, 90.00, 90.00 degrees
Closest atoms and distances in Å follow each position.
Sites, in units of the cell vectors:
Rb 0.0000 0.0000 0.5000  2 Pd 3.23
Rb 0.0000 0.5000 0.0000  2 Pd 3.23
Rb 0.5000 0.0000 0.0000  2 Pd 3.23
V 0.5000 0.5000 0.5000  12 Rb 4.57
Pd 0.0000 0.0000 0.0000  6 Rb 3.23

## Properties
For the formation energy, the calculation gives 4.41 eV per formula unit. Its symmetry is Pm-3m (221).

Entry 3:
The following is a DFT calculation (PBE) of ThBi2Pd after structural relaxation.

Cell lengths 10.9372, 10.9372, 10.9372 Å; angles 18.38, 18.38, 18.38 degrees
Closest atoms and distances in Å follow each position.
Sites, in units of the cell vectors:
Th 0.0000 0.0000 0.0000  2 Bi 3.34, 6 Th 3.49
Bi 0.1036 0.1036 0.1036  3 Pd 2.87
Bi 0.8964 0.8964 0.8964  3 Pd 2.87
Pd 0.5000 0.5000 0.5000  6 Bi 2.87

## Properties
For the formation energy, the calculation gives -0.07 eV per formula unit. Its symmetry is R-3m (166).

Entry 4:
The following is a DFT calculation (PBE) of PaAlPt after structural relaxation.

Cell lengths 5.6595, 5.6595, 5.6595 Å; angles 134.04, 103.75, 93.86 degrees
Closest atoms and distances in Å follow each position.
Sites, in units of the cell vectors:
Pa 0.0000 0.0000 0.0000  6 Al 3.04-3.12, 6 Pt 3.10-3.24
Pa 0.5622 0.0622 0.5000  6 Pt 3.03-3.11, 6 Al 3.17-3.19
Al 0.4019 0.6961 0.7058  3 Pt 2.57-2.60, 1 Al 2.88
Al 0.9903 0.6961 0.2942  3 Pt 2.57-2.60, 1 Al 2.88
Pt 0.1395 0.3658 0.7737  3 Al 2.57-2.60
Pt 0.5921 0.3658 0.2263  3 Al 2.57-2.60

## Properties
For the formation energy, the calculation gives -2.53 eV per formula unit. Its symmetry is Imm2 (44).

Entry 5:
The following is a DFT calculation (PBE) of CaMgSn4 after structural relaxation.

Cell lengths 6.2383, 6.2383, 6.2383 Å; angles 60.00, 60.00, 60.00 degrees
Closest atoms and distances in Å follow each position.
Sites, in units of the cell vectors:
Ca 0.0000 0.0000 0.0000  12 Sn 3.66, 4 Mg 3.82
Mg 0.7500 0.7500 0.7500  12 Sn 3.66, 4 Ca 3.82
Sn 0.3754 0.3754 0.3754  6 Sn 3.11-3.13
Sn 0.3754 0.3754 0.8739  6 Sn 3.11-3.13
Sn 0.3754 0.8739 0.3754  6 Sn 3.11-3.13
Sn 0.8739 0.3754 0.3754  6 Sn 3.11-3.13

## Properties
For the formation energy, the calculation gives -0.94 eV per formula unit. Its symmetry is F-43m (216).

Entry 6:
The following is a DFT calculation (PBE) of Np3As after structural relaxation.

Cell lengths 4.2326, 4.2326, 4.2326 Å; angles 90.00, 90.00, 90.00 degrees
Closest atoms and distances in Å follow each position.
Sites, in units of the cell vectors:
Np 0.0000 0.0000 0.5000  4 As 2.99, 8 Np 2.99
Np 0.0000 0.5000 0.0000  4 As 2.99, 8 Np 2.99
Np 0.5000 0.0000 0.0000  4 As 2.99, 8 Np 2.99
As 0.5000 0.5000 0.5000  12 Np 2.99

## Properties
For the formation energy, the calculation gives -0.31 eV per formula unit. Its symmetry is Pm-3m (221).